[1]
Cs2TeIr6: relaxed, GGA-PBE.

**Final energy**: -5.443 eV per atom
**Crystal system**: cubic

a = 6.6143 Å, b = 6.6143 Å, c = 6.6143 Å
α = 60.00°, β = 60.00°, γ = 60.00°
Element x y z (fractional)
Ir (0.6983, 0.6983, 0.3017)
Te (0.0000, 0.0000, 0.0000)
Ir (0.6983, 0.3017, 0.3017)
Ir (0.6983, 0.3017, 0.6983)
Cs (0.7500, 0.7500, 0.7500)
Cs (0.2500, 0.2500, 0.2500)
Ir (0.3017, 0.6983, 0.6983)
Ir (0.3017, 0.3017, 0.6983)
Ir (0.3017, 0.6983, 0.3017)

[2]
Y2BeNi: relaxed, GGA-PBE.

**Final energy**: -5.399 eV per atom
**Crystal system**: cubic

a = 4.6606 Å, b = 4.6606 Å, c = 4.6606 Å
α = 60.00°, β = 60.00°, γ = 60.00°
Element x y z (fractional)
Y (0.0000, 0.0000, 0.0000)
Be (0.5000, 0.5000, 0.5000)
Y (0.7500, 0.7500, 0.7500)
Ni (0.2500, 0.2500, 0.2500)

[3]
Sm3Al3GeIr2: relaxed, GGA-PBE.

**Energy above the lowest structure with this stoichiometry**: 0.000 eV per atom
**Final energy**: -5.979 eV per atom
**Crystal system**: hexagonal

a = 7.3407 Å, b = 7.3407 Å, c = 4.0350 Å
α = 90.00°, β = 90.00°, γ = 120.00°
Element x y z (fractional)
Sm (0.4045, 0.0000, 0.5000)
Ge (0.0000, 0.0000, 0.5000)
Al (0.0000, 0.7294, 0.0000)
Ir (0.3333, 0.6667, 0.0000)
Ir (0.6667, 0.3333, 0.0000)
Sm (0.0000, 0.4045, 0.5000)
Sm (0.5955, 0.5955, 0.5000)
Al (0.2706, 0.2706, 0.0000)
Al (0.7294, 0.0000, 0.0000)

[4]
ZrInCoAu: relaxed, GGA-PBE.

**Energy above the lowest structure with this stoichiometry**: 0.000 eV per atom
**Final energy**: -5.646 eV per atom
**Crystal system**: cubic

a = 4.6262 Å, b = 4.6262 Å, c = 4.6262 Å
α = 60.00°, β = 60.00°, γ = 60.00°
Site moments in Bohr magnetons follow the coordinates.
Element x y z (fractional)
Co (0.7500, 0.7500, 0.7500)  -1.11
In (0.0000, 0.0000, 0.0000)  -0.02
Zr (0.5000, 0.5000, 0.5000)  0.04
Au (0.2500, 0.2500, 0.2500)  -0.04

[5]
AlCoAg2: relaxed, GGA-PBE.

**Final energy**: -4.007 eV per atom
**Crystal system**: cubic

a = 4.3967 Å, b = 4.3967 Å, c = 4.3967 Å
α = 60.00°, β = 60.00°, γ = 60.00°
Element x y z (fractional)
Al (0.5000, 0.5000, 0.5000)
Ag (0.7500, 0.7500, 0.7500)
Co (0.2500, 0.2500, 0.2500)
Ag (0.0000, 0.0000, 0.0000)

[6]
BeZnFeB: relaxed, GGA-PBE.

**Energy above the lowest structure with this stoichiometry**: 0.116 eV per atom
**Final energy**: -4.579 eV per atom
**Crystal system**: cubic

a = 3.7682 Å, b = 3.7682 Å, c = 3.7682 Å
α = 60.00°, β = 60.00°, γ = 60.00°
Site moments in Bohr magnetons follow the coordinates.
Element x y z (fractional)
Zn (0.5000, 0.5000, 0.5000)  0.01
Fe (0.7500, 0.7500, 0.7500)  0.44
Be (0.2500, 0.2500, 0.2500)  -0.01
B (0.0000, 0.0000, 0.0000)  -0.01